## LaZrMn2Sb (PBE-GGA)

Data for a geometry-optimized LaZrMn2Sb structure.

Structure (extended XYZ):
```
5
Lattice="4.825 0.000 0.000 0.000 4.825 0.000 0.000 0.000 5.896" Properties=species:S:1:pos:R:3 pbc="T T T"
La 0.000 0.000 0.000
Zr 0.000 0.000 2.948
Mn 0.000 2.412 2.948
Mn 2.412 0.000 2.948
Sb 2.412 2.412 0.000
```

The calculation puts the density of states at the Fermi level at 3.55 states/eV per cell. The formation energy without anion corrections comes out at 797 meV per atom.

## La2Sc2Mn (PBE-GGA)

Data for a geometry-optimized La2Sc2Mn structure.

Structure (extended XYZ):
```
10
Lattice="7.011 0.000 0.000 0.000 7.011 0.000 0.000 0.000 5.519" Properties=species:S:1:pos:R:3 pbc="T T T"
La 1.176 2.329 0.000
La 2.329 5.834 0.000
La 4.682 1.176 0.000
La 5.834 4.682 0.000
Sc 1.105 4.610 2.760
Sc 2.401 1.105 2.760
Sc 4.610 5.906 2.760
Sc 5.906 2.401 2.760
Mn 0.000 0.000 2.760
Mn 3.505 3.505 2.760
```

The calculation puts the density of states at the Fermi level at 16.47 states/eV per cell. For the energy of formation, the calculation gives 1.4 eV/f.u.

## LaSc4Mn (PBE-GGA)

Data for a geometry-optimized LaSc4Mn structure.

Structure (extended XYZ):
```
6
Lattice="0.000 4.290 4.290 4.290 0.000 4.290 4.290 4.290 0.000" Properties=species:S:1:pos:R:3 pbc="T T T"
La 0.000 0.000 0.000
Sc 3.222 3.222 3.222
Sc 5.357 5.357 3.222
Sc 5.357 3.222 5.357
Sc 3.222 5.357 5.357
Mn 6.435 6.435 6.435
```

The calculation puts the density of states at the Fermi level at 10.13 states/eV per cell. For the energy of formation, the calculation gives 2.7 eV/f.u.

## La2ScMn (PBE-GGA)

Data for a geometry-optimized La2ScMn structure.

Structure (extended XYZ):
```
4
Lattice="3.823 0.000 0.000 0.000 3.823 0.000 0.000 0.000 7.657" Properties=species:S:1:pos:R:3 pbc="T T T"
La 0.000 0.000 1.732
La 0.000 0.000 5.926
Sc 1.911 1.911 3.829
Mn 1.911 1.911 0.000
```

The calculation puts the density of states at the Fermi level at 3.95 states/eV per cell. For the relative energy among the computed polymorphs, the calculation gives 31.5 meV/atom. For the energy of formation, the calculation gives 0.7 eV/f.u.